(1)
Entry from the Alexandria database: an optimized crystal structure of Tb4HgAu2 (PBE-GGA).

CIF file:
```
data_Tb4HgAu2
_space_group_name_H-M_alt 'P 1'
_space_group_IT_number 1
_cell_length_a 4.877
_cell_length_b 4.877
_cell_length_c 10.083
_cell_angle_alpha 76.01
_cell_angle_beta 76.01
_cell_angle_gamma 60.00
loop_
_space_group_symop_operation_xyz
'x,y,z'
loop_
_atom_site_label
_atom_site_type_symbol
_atom_site_fract_x
_atom_site_fract_y
_atom_site_fract_z
Tb1 Tb 0.382 0.382 0.853
Tb2 Tb 0.203 0.203 0.391
Tb3 Tb 0.797 0.797 0.609
Tb4 Tb 0.618 0.618 0.147
Hg1 Hg 0.000 0.000 0.000
Au1 Au 0.101 0.101 0.696
Au2 Au 0.899 0.899 0.304
```

Output
The value obtained for the energy relative to the elements is -448 meV/atom.

=====

(2)
Entry from the Alexandria database: an optimized crystal structure of TlAsRh2Pb (PBE-GGA).

CIF file:
```
data_TlAsRh2Pb
_space_group_name_H-M_alt 'P 1'
_space_group_IT_number 1
_cell_length_a 4.653
_cell_length_b 5.517
_cell_length_c 4.653
_cell_angle_alpha 90.00
_cell_angle_beta 90.00
_cell_angle_gamma 90.00
loop_
_space_group_symop_operation_xyz
'x,y,z'
loop_
_atom_site_label
_atom_site_type_symbol
_atom_site_fract_x
_atom_site_fract_y
_atom_site_fract_z
Pb1 Pb 0.500 0.500 0.500
Tl1 Tl 0.000 0.500 0.000
Rh1 Rh 0.000 0.000 0.500
Rh2 Rh 0.500 0.000 0.000
As1 As 0.000 0.000 0.000
```

Output
The value obtained for the energy relative to the elements is 359 meV/atom.

=====

Among the records above, which one has the highest energy relative to the elements?
TlAsRh2Pb